(1)
Nd2Cu2SbAs2P: optimized geometry, PBE-GGA.

Cell: 4.0031 4.0031 10.2189 Å, 90.00 90.00 90.00°
Fractional coordinates of all 8 atoms:
Sb 0.5000 0.5000 0.0000
Cu 0.0000 0.0000 0.5000
As 0.5000 0.0000 0.6493
Cu 0.5000 0.5000 0.5000
Nd 0.0000 0.5000 0.7543
Nd 0.5000 0.0000 0.2457
As 0.0000 0.5000 0.3507
P 0.0000 0.0000 0.0000

(2)
TeMoSe3Br: optimized geometry, PBE-GGA.

The value obtained for the energy relative to the lowest polymorph listed for this composition is 1.3 meV per atom.

Cell: 6.5424 7.4440 8.3111 Å, 113.95 103.36 100.70°
Fractional coordinates of all 12 atoms:
Se 0.1195 0.3257 0.1738
Se 0.4627 0.7626 0.0445
Mo 0.7810 0.0000 0.0003
Se 0.5373 0.2374 0.9555
Br 0.2456 0.3946 0.5563
Mo 0.2190 0.0000 0.9997
Se 0.0177 0.8466 0.1685
Se 0.8805 0.6743 0.8262
Se 0.9823 0.1534 0.8315
Te 0.3819 0.8619 0.6957
Br 0.7544 0.6054 0.4437
Te 0.6181 0.1381 0.3043

(3)
YHo2NiPd2Pb3: optimized geometry, PBE-GGA.

Cell: 3.8096 7.8039 7.8039 Å, 120.15 90.00 90.00°
Fractional coordinates of all 9 atoms:
Pb 0.5000 0.2578 0.0000
Pd 0.5000 0.6690 0.3330
Pb 0.5000 0.0000 0.2578
Pb 0.5000 0.7418 0.7418
Pd 0.5000 0.3330 0.6690
Ho 0.0000 0.9998 0.6003
Y 0.0000 0.3991 0.3991
Ho 0.0000 0.6003 0.9998
Ni 0.0000 0.9991 0.9991

(4)
ScSnPd2: optimized geometry, PBE-GGA.

Cell: 5.9360 7.2791 7.0943 Å, 90.00 90.00 90.00°
Fractional coordinates of all 16 atoms:
Sn 0.1711 0.2500 0.5955
Sc 0.6758 0.2500 0.4706
Sn 0.3289 0.2500 0.0955
Pd 0.9563 0.5473 0.7103
Pd 0.9563 0.9527 0.7103
Sc 0.8242 0.2500 0.9706
Sn 0.6711 0.7500 0.9045
Sc 0.3242 0.7500 0.5294
Sc 0.1758 0.7500 0.0294
Pd 0.5437 0.9527 0.2103
Pd 0.0437 0.0473 0.2897
Pd 0.5437 0.5473 0.2103
Pd 0.4563 0.4527 0.7897
Pd 0.0437 0.4527 0.2897
Sn 0.8289 0.7500 0.4045
Pd 0.4563 0.0473 0.7897

(5)
Y4Hf2P3C3: optimized geometry, PBE-GGA.

Cell: 6.2384 6.2384 13.3087 Å, 103.69 103.69 60.29°
Fractional coordinates of all 24 atoms:
P 0.7225 0.5825 0.7498
C 0.5000 0.0000 0.0000
Y 0.0386 0.2023 0.6095
Hf 0.5319 0.3651 0.0954
Y 0.2023 0.0386 0.1095
C 0.6488 0.2018 0.4999
C 0.0000 0.5000 0.5000
Hf 0.4681 0.6349 0.9046
C 0.7982 0.3512 0.0001
P 0.8883 0.1117 0.2500
Hf 0.6349 0.4681 0.4046
P 0.2775 0.4175 0.2502
Hf 0.3651 0.5319 0.5954
P 0.4175 0.2775 0.7502
Y 0.9614 0.7977 0.3905
P 0.1117 0.8883 0.7500
Y 0.2966 0.1282 0.3904
Y 0.1282 0.2966 0.8904
Y 0.7034 0.8718 0.6096
Y 0.7977 0.9614 0.8905
Y 0.8718 0.7034 0.1096
C 0.2018 0.6488 0.9999
P 0.5825 0.7225 0.2498
C 0.3512 0.7982 0.5001

(6)
Fe2SiGePt2: optimized geometry, PBE-GGA.

Cell: 3.6314 3.6314 6.2729 Å, 90.00 90.00 90.00°
Fractional coordinates of all 6 atoms:
Pt 0.0000 0.0000 0.6491
Si 0.5000 0.5000 0.7480
Fe 0.0000 0.5000 0.9916
Fe 0.5000 0.0000 0.9916
Pt 0.5000 0.5000 0.3685
Ge 0.0000 0.0000 0.2512

(7)
NaHfCu3S4: optimized geometry, PBE-GGA.

The value obtained for the energy relative to the lowest polymorph listed for this composition is 0.0 meV per atom.

Cell: 5.7447 5.7447 5.7447 Å, 90.00 90.00 90.00°
Fractional coordinates of all 9 atoms:
Cu 0.0000 0.5000 0.5000
S 0.2631 0.2631 0.2631
S 0.2631 0.7369 0.7369
Cu 0.5000 0.5000 0.0000
Na 0.0000 0.0000 0.0000
Cu 0.5000 0.0000 0.5000
S 0.7369 0.7369 0.2631
S 0.7369 0.2631 0.7369
Hf 0.5000 0.5000 0.5000

Number 1: E -5.257 eV per atom. Number 2: E -4.740 eV per atom. Number 3: E -5.394 eV per atom. Number 4: E -5.889 eV per atom. Number 5: E -8.343 eV per atom. Number 6: E -6.789 eV per atom. Number 7: E -5.127 eV per atom.